{
  "formula": "TiVClF2",
  "functional": "PBE with a Hubbard U",
  "state": "optimized geometry",
  "lattice_angstrom": [[3.8814, 0.0000, 0.0000], [0.0000, 6.0920, 0.0000], [0.0000, 0.0000, 3.8814]],
  "species": ["F", "F", "Ti", "V", "Cl"],
  "fractional_positions": [[0.5000, 0.0000, 0.0000], [0.0000, 0.0000, 0.5000], [0.0000, 0.0000, 0.0000], [0.0000, 0.5000, 0.0000], [0.5000, 0.5000, 0.5000]],
  "final_energy_ev_per_cell": -29.07,
  "total_magnetization_mub_per_cell": 4.0
}